Crystalline Ho4Ag2HgRh at its relaxed geometry. Source: the Alexandria database, functional PBE.

Its total magnetization is 0.00 μB per cell. The calculation puts the formation energy at -522 meV per atom.

a = 5.081 Å, b = 5.081 Å, c = 8.737 Å
α = 73.09°, β = 73.09°, γ = 60.00°
Fractional positions:
Ho 0.383 0.383 0.851
Ho 0.869 0.869 0.392
Ho 0.131 0.131 0.608
Ho 0.617 0.617 0.149
Ag 0.745 0.745 0.766
Ag 0.255 0.255 0.234
Hg 0.000 0.000 0.000
Rh 0.500 0.500 0.500